Dy4Pd3Pt | PBE-GGA | relaxed

Cell and atoms, written as POSCAR:
```
Dy4Pd3Pt
1.0
3.709 0.000 0.000
0.000 4.573 0.000
0.000 0.000 10.529
Dy Pd Pt
4 3 1
Cartesian
1.854 2.286 3.791
0.000 2.286 9.115
0.000 0.000 1.448
1.854 0.000 6.708
0.000 2.286 6.179
0.000 0.000 4.366
1.854 0.000 9.591
1.854 2.286 0.919
```

ΔH_f (0 K), meV per atom: -1015
ρ, kg/m3: 10828

AcTb3In | PBE-GGA | relaxed

Cell and atoms, written as POSCAR:
```
AcTb3In
1.0
-3.420 -0.289 -5.236
4.594 -6.083 -2.665
-6.596 -1.546 4.394
Ac Tb In
2 6 2
Cartesian
-1.701 -4.788 -4.239
-3.721 -3.130 0.731
-5.062 -5.231 -2.020
-1.218 -5.951 -0.748
-0.361 -2.687 -1.488
-4.205 -1.967 -2.760
1.605 -5.289 -2.628
-7.028 -2.628 -0.880
0.000 0.000 0.000
-1.710 -0.144 -2.618
```

ΔH_f (0 K), meV per atom: 33
ρ, kg/m3: 7690

Th3MnRh12 | PBE-GGA | relaxed

Cell and atoms, written as POSCAR:
```
Th3MnRh12
1.0
4.075 0.000 0.000
0.000 4.075 0.000
0.000 0.000 16.143
Th Mn Rh
3 1 12
Cartesian
0.000 0.000 3.889
0.000 0.000 8.071
0.000 0.000 12.254
0.000 0.000 0.000
2.038 2.038 0.000
2.038 2.038 3.871
2.038 2.038 8.071
2.038 2.038 12.271
2.038 0.000 1.757
2.038 0.000 5.971
2.038 0.000 10.171
2.038 0.000 14.385
0.000 2.038 1.757
0.000 2.038 5.971
0.000 2.038 10.171
0.000 2.038 14.385
```

ΔH_f (0 K), meV per atom: -540
ρ, kg/m3: 12299

Rb2CdHg2Te4 | PBE-GGA | relaxed

Cell and atoms, written as POSCAR:
```
Rb2CdHg2Te4
1.0
-0.787 2.368 3.759
-8.159 -2.105 -0.383
4.732 -7.636 3.094
Rb Cd Hg Te
2 1 2 4
Cartesian
-3.435 -2.783 1.034
-0.779 -4.590 5.436
0.000 0.000 0.000
-6.992 -3.039 3.158
2.777 -4.334 3.312
0.200 -3.202 2.059
-4.414 -4.171 4.411
-6.570 -0.627 1.727
2.356 -6.747 4.743
```

ρ, kg/m3: 5930
ΔE_f (raw), eV/atom: -0.51

LiTaRh2 | PBE-GGA | relaxed

Cell and atoms, written as POSCAR:
```
LiTaRh2
1.0
2.738 0.008 0.000
-1.241 2.440 0.000
0.000 0.000 9.371
Li Rh Ta
1 2 1
Cartesian
0.748 1.224 7.196
0.000 0.000 9.339
0.748 1.224 2.321
0.000 0.000 4.572
```

ΔH_f (0 K), meV per atom: 117
Energy above the most stable polymorph in this dataset, meV per atom: 670.5
ρ, kg/m3: 10426

Na3YTl | PBE-GGA | relaxed

Cell and atoms, written as POSCAR:
```
Na3YTl
1.0
-0.089 5.706 -0.006
-4.459 -0.066 3.561
3.561 0.060 4.459
Y Na Tl
1 3 1
Cartesian
-0.493 2.850 4.007
-2.229 -0.033 1.781
1.780 0.030 2.229
-0.045 2.853 -0.003
0.000 0.000 0.000
```

ΔH_f (0 K), meV per atom: 473
Energy above the most stable polymorph in this dataset, meV per atom: 0.0
ρ, kg/m3: 3237

Mg2Al2Si | PBE-GGA | relaxed

Cell and atoms, written as POSCAR:
```
Mg2Al2Si
1.0
8.024 0.000 0.000
0.000 8.024 0.000
0.000 0.000 3.020
Mg Si Al
4 2 4
Cartesian
1.472 5.483 1.510
5.483 6.552 1.510
6.552 2.540 1.510
2.540 1.472 1.510
0.000 0.000 0.000
4.012 4.012 0.000
3.079 7.091 0.000
7.091 4.945 0.000
4.945 0.933 0.000
0.933 3.079 0.000
```

ρ, kg/m3: 2232
ΔE_f (raw), eV/atom: 0.25